This record from Alexandria describes a geometry-optimized Tl2RhS2 structure. The functional is PBE-GGA.

Summary:
The value obtained for the energy above the most stable polymorph in this dataset is 0.2194 eV per atom. As for the uncorrected formation energy: -0.3 eV per formula unit.

Geometry as POSCAR:
```
Tl2RhS2
1.0
6.136 0.000 0.000
0.000 6.136 0.000
0.000 0.000 5.807
Tl Rh S
4 2 4
Direct
0.194 0.306 0.000 Tl
0.306 0.806 0.000 Tl
0.694 0.194 0.000 Tl
0.806 0.694 0.000 Tl
0.000 0.000 0.500 Rh
0.500 0.500 0.500 Rh
0.132 0.632 0.500 S
0.368 0.132 0.500 S
0.632 0.868 0.500 S
0.868 0.368 0.500 S
```


This record from Alexandria describes a geometry-optimized U2TlRhS4 structure. The functional is PBE-GGA.

Summary:
As for the uncorrected formation energy: -8.3 eV per formula unit.

Geometry as POSCAR:
```
U2TlRhS4
1.0
1.959 -6.745 0.000
1.959 6.745 0.000
0.000 0.000 13.795
U Tl Rh S
4 2 2 8
Direct
0.133 0.867 0.565 U
0.133 0.867 0.935 U
0.867 0.133 0.065 U
0.867 0.133 0.435 U
0.388 0.612 0.750 Tl
0.612 0.388 0.250 Tl
0.328 0.672 0.250 Rh
0.672 0.328 0.750 Rh
0.075 0.925 0.750 S
0.235 0.765 0.103 S
0.235 0.765 0.397 S
0.500 0.500 0.000 S
0.500 0.500 0.500 S
0.765 0.235 0.603 S
0.765 0.235 0.897 S
0.925 0.075 0.250 S
```


This record from Alexandria describes a geometry-optimized UTl2Rh2S6 structure. The functional is PBE-GGA.

Summary:
As for the uncorrected formation energy: -8.0 eV per formula unit.

Geometry as POSCAR:
```
UTl2Rh2S6
1.0
3.059 -5.334 0.000
3.059 5.334 0.000
-1.927 0.000 7.846
U Tl Rh S
1 2 2 6
Direct
0.000 0.000 0.000 U
0.159 0.841 0.500 Tl
0.841 0.159 0.500 Tl
0.334 0.666 0.000 Rh
0.666 0.334 0.000 Rh
0.056 0.417 0.181 S
0.306 0.306 0.819 S
0.417 0.056 0.181 S
0.583 0.944 0.819 S
0.694 0.694 0.181 S
0.944 0.583 0.819 S
```


This record from Alexandria describes a geometry-optimized U2Tl2RhS6 structure. The functional is PBE-GGA.

Summary:
As for the uncorrected formation energy: -9.7 eV per formula unit.

Geometry as POSCAR:
```
U2Tl2RhS6
1.0
3.244 -5.589 0.000
3.244 5.589 0.000
-2.249 0.000 7.817
U Tl Rh S
2 2 1 6
Direct
0.167 0.833 0.000 U
0.833 0.167 0.000 U
0.329 0.671 0.500 Tl
0.671 0.329 0.500 Tl
0.500 0.500 0.000 Rh
0.114 0.432 0.806 S
0.253 0.253 0.192 S
0.432 0.114 0.806 S
0.568 0.886 0.194 S
0.747 0.747 0.808 S
0.886 0.568 0.194 S
```


This record from Alexandria describes a geometry-optimized U2Tl3RhS6 structure. The functional is PBE-GGA.

Summary:
As for the uncorrected formation energy: -9.6 eV per formula unit.

Geometry as POSCAR:
```
U2Tl3RhS6
1.0
3.243 -5.626 0.000
3.243 5.626 0.000
-2.215 0.000 7.959
U Tl Rh S
2 3 1 6
Direct
0.166 0.834 0.000 U
0.834 0.166 0.000 U
0.000 0.000 0.500 Tl
0.332 0.668 0.500 Tl
0.668 0.332 0.500 Tl
0.500 0.500 0.000 Rh
0.121 0.437 0.811 S
0.251 0.251 0.191 S
0.437 0.121 0.811 S
0.563 0.879 0.189 S
0.749 0.749 0.809 S
0.879 0.563 0.189 S
```


This record from Alexandria describes a geometry-optimized U3Tl3RhS8 structure. The functional is PBE-GGA.

Summary:
As for the uncorrected formation energy: -13.8 eV per formula unit.

Geometry as POSCAR:
```
U3Tl3RhS8
1.0
3.802 2.195 7.846
-3.802 2.195 7.846
0.000 -4.390 7.846
U Tl Rh S
3 3 1 8
Direct
0.000 0.500 0.500 U
0.500 0.000 0.500 U
0.500 0.500 0.000 U
0.000 0.000 0.500 Tl
0.000 0.500 0.000 Tl
0.500 0.000 0.000 Tl
0.000 0.000 0.000 Rh
0.221 0.221 0.747 S
0.221 0.747 0.221 S
0.253 0.779 0.779 S
0.265 0.265 0.265 S
0.735 0.735 0.735 S
0.747 0.221 0.221 S
0.779 0.253 0.779 S
0.779 0.779 0.253 S
```


Q: Which D(E_F) values were calculated for the entries above? A: 0.8392 1.6319 0.6150 1.1331 1.4417 0.9269, in states/eV/atom.